Ca2AlIr: PBEsol geometry, SCAN.

Computed properties:
- Mass density: 5.4 g cm⁻³
- Volume: 22.88 Å³ per atom
- E: -24.998 eV/atom

a b c (Å): 3.2576 3.2576 8.6253
angles (deg): 90.00 90.00 90.00
Last column: nearest neighbours and their distance in Å.
Atoms (fractional coordinates):
Ca  0.0000  0.0000  0.0000  4 Al 3.20, 4 Ca 3.26, 1 Ir 3.35
Ca  0.5000  0.5000  0.3873  4 Ir 3.01, 1 Al 3.07, 4 Ca 3.26
Al  0.5000  0.5000  0.7431  4 Ir 2.57
Ir  0.0000  0.0000  0.6118  4 Al 2.57

=====

Ca2AlIr2: PBEsol geometry, SCAN.

Computed properties:
- Mass density: 8.3 g cm⁻³
- Volume: 19.74 Å³ per atom
- E: -34.484 eV/atom

a b c (Å): 6.5358 6.5358 4.6211
angles (deg): 90.00 90.00 90.00
Last column: nearest neighbours and their distance in Å.
Atoms (fractional coordinates):
Ca  0.1731  0.3269  0.0000  6 Ir 2.91-3.08, 1 Ca 3.20
Ca  0.3269  0.8269  0.0000  6 Ir 2.91-3.08, 1 Ca 3.20
Ca  0.6731  0.1731  0.0000  6 Ir 2.91-3.08, 1 Ca 3.20
Ca  0.8269  0.6731  0.0000  6 Ir 2.91-3.08, 1 Ca 3.20
Al  0.0000  0.0000  0.5000  4 Ir 2.54
Al  0.5000  0.5000  0.5000  4 Ir 2.54
Ir  0.1354  0.6354  0.5000  1 Ir 2.50, 2 Al 2.54
Ir  0.3646  0.1354  0.5000  1 Ir 2.50, 2 Al 2.54
Ir  0.6354  0.8646  0.5000  1 Ir 2.50, 2 Al 2.54
Ir  0.8646  0.3646  0.5000  1 Ir 2.50, 2 Al 2.54

=====

Ca2MgAlIr: PBEsol geometry, SCAN.

Computed properties:
- Mass density: 3.8 g cm⁻³
- Volume: 28.18 Å³ per atom
- E: -20.868 eV/atom

a b c (Å): 5.4372 5.4372 4.7656
angles (deg): 90.00 90.00 90.00
Last column: nearest neighbours and their distance in Å.
Atoms (fractional coordinates):
Ca  0.0000  0.5000  0.0000  2 Ir 2.72
Ca  0.5000  0.0000  0.0000  2 Ir 2.72
Mg  0.0000  0.0000  0.5000  8 Ca 3.62, 4 Al 3.84
Al  0.5000  0.5000  0.5000  2 Ir 2.38
Ir  0.5000  0.5000  0.0000  2 Al 2.38

=====

KCaAl: PBEsol geometry, SCAN.

Computed properties:
- Mass density: 1.5 g cm⁻³
- Volume: 38.54 Å³ per atom
- E: -8.042 eV/atom

a b c (Å): 5.4682 5.4682 5.4682
angles (deg): 60.00 60.00 60.00
Last column: nearest neighbours and their distance in Å.
Atoms (fractional coordinates):
K  0.0000  0.0000  0.0000  4 Ca 3.35
Ca  0.7500  0.7500  0.7500  4 K 3.35, 4 Al 3.35
Al  0.5000  0.5000  0.5000  4 Ca 3.35

=====

KCa3Mg3AlSi8O24: PBEsol geometry, SCAN.

Computed properties:
- Mass density: 3.3 g cm⁻³
- Volume: 10.96 Å³ per atom
- E: -10.405 eV/atom
- Uncorrected formation energy: -3163 meV per atom

a b c (Å): 5.2801 8.9084 9.6650
angles (deg): 90.00 105.43 90.00
Last column: nearest neighbours and their distance in Å.
Atoms (fractional coordinates):
K  0.0000  0.0000  0.0000  8 O 2.53-2.73
Ca  0.0000  0.8909  0.5000  6 O 2.32-2.59
Ca  0.5000  0.3892  0.0000  6 O 2.38-2.50
Ca  0.5000  0.4919  0.5000  6 O 2.33-2.56
Mg  0.0000  0.2818  0.5000  6 O 2.04-2.14
Mg  0.0000  0.6010  0.0000  6 O 2.01-2.10
Mg  0.5000  0.0998  0.5000  6 O 2.05-2.13
Al  0.5000  0.7882  0.0000  6 O 1.90-2.01
Si  0.1850  0.2848  0.2134  4 O 1.61-1.68
Si  0.1928  0.6028  0.7141  4 O 1.60-1.69
Si  0.3153  0.7865  0.2836  4 O 1.60-1.70
Si  0.3172  0.0952  0.7877  4 O 1.61-1.69
Si  0.6828  0.0952  0.2123  4 O 1.61-1.69
Si  0.6847  0.7865  0.7164  4 O 1.60-1.70
Si  0.8072  0.6028  0.2859  4 O 1.60-1.69
Si  0.8150  0.2848  0.7866  4 O 1.61-1.68
O  0.1085  0.6751  0.3458  2 Si 1.67-1.70
O  0.1151  0.2109  0.8463  2 Si 1.67-1.69
O  0.1966  0.4434  0.1364  1 Si 1.61
O  0.2093  0.4431  0.6417  1 Si 1.60
O  0.2245  0.0988  0.6141  1 Si 1.62
O  0.2506  0.7660  0.1109  1 Si 1.62
O  0.2761  0.2813  0.3869  1 Si 1.62
O  0.2864  0.9447  0.3557  1 Si 1.60
O  0.2893  0.6182  0.8882  1 Si 1.63
O  0.3283  0.9324  0.8619  1 Si 1.61
O  0.3864  0.7131  0.6423  2 Si 1.68-1.69
O  0.3958  0.1817  0.1499  2 Si 1.66-1.68
O  0.6042  0.1817  0.8501  2 Si 1.66-1.68
O  0.6136  0.7131  0.3577  2 Si 1.68-1.69
O  0.6717  0.9324  0.1381  1 Si 1.61
O  0.7107  0.6182  0.1118  1 Si 1.63
O  0.7136  0.9447  0.6443  1 Si 1.60
O  0.7239  0.2813  0.6131  1 Si 1.62
O  0.7494  0.7660  0.8891  1 Si 1.62
O  0.7755  0.0988  0.3859  1 Si 1.62
O  0.7907  0.4431  0.3583  1 Si 1.60
O  0.8034  0.4434  0.8636  1 Si 1.61
O  0.8849  0.2109  0.1537  2 Si 1.67-1.69
O  0.8915  0.6751  0.6542  2 Si 1.67-1.70

=====

Ca2LaAl2: PBEsol geometry, SCAN.

Computed properties:
- Mass density: 3.1 g cm⁻³
- Volume: 29.56 Å³ per atom
- E: -15.735 eV/atom

a b c (Å): 7.5666 7.5666 7.5666
angles (deg): 144.15 144.15 51.61
Last column: nearest neighbours and their distance in Å.
Atoms (fractional coordinates):
Ca  0.2500  0.7500  0.5000  4 Al 3.17, 4 Ca 3.29
Ca  0.7500  0.2500  0.5000  4 Al 3.17, 4 Ca 3.29
La  0.0000  0.0000  0.0000  8 Al 3.52
Al  0.4079  0.4079  0.0000  1 Al 2.51
Al  0.5921  0.5921  0.0000  1 Al 2.51

=====

CaLaAl2: PBEsol geometry, SCAN.

Computed properties:
- Mass density: 3.6 g cm⁻³
- Volume: 26.81 Å³ per atom
- E: -17.045 eV/atom

a b c (Å): 10.2449 10.2449 10.2449
angles (deg): 19.74 19.74 19.74
Last column: nearest neighbours and their distance in Å.
Atoms (fractional coordinates):
Ca  0.0000  0.0000  0.0000  6 Al 3.19, 6 Ca 3.51
La  0.5000  0.5000  0.5000  6 Al 3.26, 6 La 3.51
Al  0.2515  0.2515  0.2515  3 Ca 3.19, 3 La 3.26, 6 Al 3.51
Al  0.7485  0.7485  0.7485  3 Ca 3.19, 3 La 3.26, 6 Al 3.51

=====

CaLaAl2: PBEsol geometry, SCAN.

Computed properties:
- Mass density: 4.0 g cm⁻³
- Volume: 24.19 Å³ per atom
- E: -17.028 eV/atom

a b c (Å): 5.1534 5.1534 5.1534
angles (deg): 60.00 60.00 60.00
Last column: nearest neighbours and their distance in Å.
Atoms (fractional coordinates):
Ca  0.0000  0.0000  0.0000  4 La 3.16, 4 Al 3.16
La  0.7500  0.7500  0.7500  4 Ca 3.16, 4 Al 3.16
Al  0.2500  0.2500  0.2500  4 Ca 3.16, 4 Al 3.16
Al  0.5000  0.5000  0.5000  4 La 3.16, 4 Al 3.16